{"formula": "MnTlNi2", "functional": "PBE", "state": "optimized geometry", "cell": [[-1.942, 1.942, 8.712], [1.942, -1.942, 8.712], [1.942, 1.942, -8.712]], "species": ["Mn", "Mn", "Tl", "Tl", "Ni", "Ni", "Ni", "Ni"], "fractional_positions": [[0.000, 0.000, 0.000], [0.750, 0.250, 0.500], [0.250, 0.750, 0.500], [0.500, 0.500, 0.000], [0.077, 0.625, 0.952], [0.375, 0.327, 0.452], [0.673, 0.125, 0.048], [0.875, 0.923, 0.548]], "formation_energy_mev_per_atom": 571, "e_tot_ev_per_atom": -5.2039, "n_ef_per_ev_cell": 7.1, "space_group": "No. 122"}